First-principles (PBE) data for a geometry-optimized Mg6Cd2Ga structure, as listed in Alexandria.

abc: 8.820 8.820 5.314
angles: 98.56 98.56 74.37
Positions (direct):
Mg 0.073 0.814 0.977
Mg 0.154 0.408 0.139
Mg 0.186 0.927 0.523
Mg 0.275 0.512 0.688
Mg 0.408 0.154 0.639
Mg 0.488 0.725 0.812
Mg 0.512 0.275 0.188
Mg 0.592 0.846 0.361
Mg 0.725 0.488 0.312
Mg 0.814 0.073 0.477
Mg 0.846 0.592 0.861
Mg 0.927 0.186 0.023
Cd 0.047 0.289 0.581
Cd 0.289 0.047 0.081
Cd 0.711 0.953 0.919
Cd 0.953 0.711 0.419
Ga 0.370 0.630 0.250
Ga 0.630 0.370 0.750

Values from the calculation:
The energy is -29.80 eV/cell. Its theoretical density is 3.74 g cm⁻³. The density of states at the Fermi level comes out at 7.24 states/eV/cell. Its energy above the most stable polymorph in this dataset is 0.025 eV/atom. As for the space group: No. 15. As for the energy of formation from the pure elements: -0.5 eV/f.u.

---

First-principles (PBE) data for a geometry-optimized AcLaGa2 structure, as listed in Alexandria.

abc: 3.855 3.855 7.668
angles: 90.00 90.00 90.00
Positions (direct):
Ac 0.000 0.000 0.000
La 0.000 0.000 0.500
Ga 0.500 0.500 0.264
Ga 0.500 0.500 0.736

Values from the calculation:
The energy is -17.09 eV/cell. Its theoretical density is 7.36 g cm⁻³. The density of states at the Fermi level comes out at 2.48 states/eV/cell. As for the space group: No. 123. As for the energy of formation from the pure elements: -2.0 eV/f.u.

---

First-principles (PBE) data for a geometry-optimized CuAg2PbF6 structure, as listed in Alexandria.

abc: 5.889 5.925 10.388
angles: 90.00 120.11 90.00
Positions (direct):
Cu 0.000 0.000 0.000
Cu 0.000 0.500 0.500
Ag 0.223 0.052 0.742
Ag 0.223 0.448 0.242
Ag 0.777 0.552 0.758
Ag 0.777 0.948 0.258
Pb 0.500 0.000 0.500
Pb 0.500 0.500 0.000
F 0.098 0.229 0.432
F 0.098 0.271 0.932
F 0.190 0.681 0.427
F 0.190 0.819 0.927
F 0.373 0.064 0.241
F 0.373 0.436 0.741
F 0.627 0.564 0.259
F 0.627 0.936 0.759
F 0.810 0.181 0.073
F 0.810 0.319 0.573
F 0.902 0.729 0.068
F 0.902 0.771 0.568

Values from the calculation:
The energy is -80.39 eV/cell. Its theoretical density is 6.36 g cm⁻³. The value obtained for the uncorrected formation energy is -15.46 eV/f.u. As for the space group: No. 14.

---

First-principles (PBE) data for a geometry-optimized Mg2CuSi3Pt4 structure, as listed in Alexandria.

abc: 3.871 3.871 11.083
angles: 90.00 90.00 90.00
Positions (direct):
Mg 0.000 0.500 0.220
Mg 0.500 0.000 0.780
Cu 0.500 0.500 0.000
Si 0.000 0.000 0.000
Si 0.000 0.500 0.636
Si 0.500 0.000 0.364
Pt 0.000 0.000 0.500
Pt 0.000 0.500 0.846
Pt 0.500 0.000 0.154
Pt 0.500 0.500 0.500

Values from the calculation:
The energy is -53.90 eV/cell. Its theoretical density is 9.77 g cm⁻³. The value obtained for the uncorrected formation energy is -6.18 eV/f.u. The density of states at the Fermi level comes out at 3.97 states/eV/cell. As for the space group: No. 115.